A relaxed structure of AgSbOF2, computed with PBE.

Output
symmetry: P4/mmm, No. 123
ΔE to the lowest computed polymorph: 332.4 kJ/mol of formula units
crystal system: tetragonal
E_form (uncorrected): -0.508 eV/atom

Cell: 4.3468 4.3468 4.1829 Å, 90.00 90.00 90.00°
Element x y z (fractional)
Sb: 0.5000 0.5000 0.5000
O: 0.0000 0.0000 0.5000
F: 0.0000 0.5000 0.0000
Ag: 0.0000 0.0000 0.0000
F: 0.5000 0.0000 0.0000